Entry 1:
DFT (SCAN) results for a PBEsol-optimized structure of BaHg3Pd.

Unit cell a=5.1993 b=5.1993 c=5.1993 alpha=90.00 beta=90.00 gamma=90.00
Fractional positions:
Hg  0.5000  0.0000  0.0000
Hg  0.0000  0.5000  0.0000
Hg  0.0000  0.0000  0.5000
Ba  0.5000  0.5000  0.5000
Pd  0.0000  0.0000  0.0000

Results
Calculated volume (A^3/atom): 28.11
SG: Pm-3m, No. 221
Energy of formation (eV per atom): -0.45

Entry 2:
DFT (SCAN) results for a PBEsol-optimized structure of NiSbH2S.

Unit cell a=3.4549 b=3.4549 c=5.8699 alpha=90.00 beta=90.00 gamma=90.00
Fractional positions:
Sb  0.0000  0.0000  0.5000
H  0.0000  0.5000  0.0000
H  0.5000  0.0000  0.0000
S  0.0000  0.0000  0.0000
Ni  0.5000  0.5000  0.5000

Results
Calculated volume (A^3/atom): 14.01
SG: P4/mmm, No. 123
E (eV per atom): -13.60